[1]
# Sm6PS12 | Alexandria | PBE | optimized geometry
data_Sm6PS12
_chemical_formula_sum 'Sm6 P1 S12'
_cell_length_a 7.805
_cell_length_b 7.805
_cell_length_c 7.805
_cell_angle_alpha 98.29
_cell_angle_beta 98.29
_cell_angle_gamma 98.29
_symmetry_space_group_name_H-M 'P 1'
_symmetry_Int_Tables_number 1
_symmetry_space_group_name_Hall 'P 1'
loop_
_atom_site_label
_atom_site_type_symbol
_atom_site_fract_x
_atom_site_fract_y
_atom_site_fract_z
_atom_site_occupancy
Sm1 Sm 0.697 0.863 0.365 1
Sm2 Sm 0.635 0.303 0.137 1
Sm3 Sm 0.137 0.635 0.303 1
Sm4 Sm 0.303 0.137 0.635 1
Sm5 Sm 0.365 0.697 0.863 1
Sm6 Sm 0.863 0.365 0.697 1
P1 P 0.000 0.000 0.000 1
S1 S 0.821 0.561 0.417 1
S2 S 0.417 0.821 0.561 1
S3 S 0.561 0.417 0.821 1
S4 S 0.179 0.439 0.583 1
S5 S 0.583 0.179 0.439 1
S6 S 0.439 0.583 0.179 1
S7 S 0.050 0.981 0.298 1
S8 S 0.019 0.702 0.950 1
S9 S 0.702 0.950 0.019 1
S10 S 0.950 0.019 0.702 1
S11 S 0.981 0.298 0.050 1
S12 S 0.298 0.050 0.981 1
# SG   R-3, No. 148
# D(E_F)   0.6035 states/eV/atom
# Formation energy (no corrections)   -1.532 eV per atom
# Volume   24.2 A^3/atom
# Size of the total moment   0.0 μB per cell

=====

[2]
# Sm3PS6 | Alexandria | PBE | optimized geometry
data_Sm3PS6
_chemical_formula_sum 'Sm6 P2 S12'
_cell_length_a 7.149
_cell_length_b 8.506
_cell_length_c 8.506
_cell_angle_alpha 101.92
_cell_angle_beta 90.00
_cell_angle_gamma 90.00
_symmetry_space_group_name_H-M 'P 1'
_symmetry_Int_Tables_number 1
_symmetry_space_group_name_Hall 'P 1'
loop_
_atom_site_label
_atom_site_type_symbol
_atom_site_fract_x
_atom_site_fract_y
_atom_site_fract_z
_atom_site_occupancy
Sm1 Sm 0.473 0.914 0.712 1
Sm2 Sm 0.973 0.712 0.914 1
Sm3 Sm 0.409 0.398 0.602 1
Sm4 Sm 0.909 0.602 0.398 1
Sm5 Sm 0.973 0.086 0.288 1
Sm6 Sm 0.473 0.288 0.086 1
P1 P 0.061 0.185 0.815 1
P2 P 0.561 0.815 0.185 1
S1 S 0.191 0.684 0.641 1
S2 S 0.691 0.641 0.684 1
S3 S 0.189 0.415 0.901 1
S4 S 0.689 0.901 0.415 1
S5 S 0.199 0.034 0.966 1
S6 S 0.612 0.219 0.781 1
S7 S 0.112 0.781 0.219 1
S8 S 0.699 0.966 0.034 1
S9 S 0.189 0.099 0.585 1
S10 S 0.689 0.585 0.099 1
S11 S 0.191 0.359 0.316 1
S12 S 0.691 0.316 0.359 1
# SG   Cmc2_1, No. 36
# D(E_F)   0.0000 states/eV/atom
# Formation energy (no corrections)   -1.539 eV per atom
# Volume   25.3 A^3/atom
# Size of the total moment   0.0 μB per cell